(1)
The following is a DFT calculation (GGA-PBE) of a relaxed structure of BaTiAs2Br.

Energy above the lowest structure with this stoichiometry (eV/atom): 1.7526
Energy (eV/atom): -3.3572
Uncorrected formation energy (eV per atom): 0.80
Crystal system: tetragonal

Cell lengths 5.7920, 5.7920, 5.9450 Å; angles 90.00, 90.00, 90.00 degrees
Last column: nearest neighbours and their distance in Å.
Element x y z (fractional)
1 As 0.0000 0.5000 0.0000  2 Ba 2.90
2 As 0.5000 0.0000 0.0000  2 Ba 2.90
3 Ba 0.0000 0.0000 0.0000  4 As 2.90, 2 Br 2.97
4 Br 0.0000 0.0000 0.5000  2 Ba 2.97
5 Ti 0.5000 0.5000 0.5000  4 Br 4.10, 8 As 4.15

---

(2)
The following is a DFT calculation (GGA-PBE) of a relaxed structure of BaTiAs2Br.

Energy above the lowest structure with this stoichiometry (eV/atom): 0.0000
Energy (eV/atom): -5.1098
Uncorrected formation energy (eV per atom): -0.95
Crystal system: tetragonal

Cell lengths 4.9478, 4.9478, 5.5029 Å; angles 90.00, 90.00, 90.00 degrees
Last column: nearest neighbours and their distance in Å.
Element x y z (fractional)
1 As 0.0000 0.5000 0.0000  2 Ti 2.47
2 As 0.5000 0.0000 0.0000  2 Ti 2.47
3 Ba 0.5000 0.5000 0.5000  4 Br 3.50, 8 As 3.70
4 Br 0.0000 0.0000 0.5000  2 Ti 2.75
5 Ti 0.0000 0.0000 0.0000  4 As 2.47, 2 Br 2.75

---

(3)
The following is a DFT calculation (GGA-PBE) of a relaxed structure of BaTlAs2Br.

Energy above the lowest structure with this stoichiometry (eV/atom): 0.0000
Energy (eV/atom): -3.3355
Uncorrected formation energy (eV per atom): -0.28
Crystal system: tetragonal

Cell lengths 5.2844, 5.2844, 6.1615 Å; angles 90.00, 90.00, 90.00 degrees
Last column: nearest neighbours and their distance in Å.
Element x y z (fractional)
1 As 0.0000 0.5000 0.0000  2 Tl 2.64
2 As 0.5000 0.0000 0.0000  2 Tl 2.64
3 Tl 0.0000 0.0000 0.0000  4 As 2.64
4 Ba 0.5000 0.5000 0.5000  4 Br 3.74, 8 As 4.06
5 Br 0.0000 0.0000 0.5000  2 Tl 3.08

---

Q: The lowest uncorrected formation energy belongs to which entry?
A: number 2

---

Q: The highest energy belongs to which entry?
A: BaTlAs2Br